The following is a DFT calculation (GGA-PBE) of Mg2TcIrPb after structural relaxation.

Output
ΔE_f = 28.9 kcal/mol of atoms
space group = No. 123

Cell lengths 4.878, 4.878, 5.121 Å; angles 90.00, 90.00, 90.00 degrees
Sites, in units of the cell vectors:
Mg  0.000  0.500  0.000
Mg  0.500  0.000  0.000
Tc  0.000  0.000  0.000
Ir  0.500  0.500  0.500
Pb  0.000  0.000  0.500